Entry 1:
## KNiS2Cl (PBE)

Data for a relaxed KNiS2Cl crystal.

The value obtained for the energy above the lowest structure with this stoichiometry is 0.0000 eV per atom. Its magnetic moment is 2.10 Bohr magnetons per cell. The density comes out at 2.73 g cm⁻³. The formation energy from raw total energies comes out at -0.449 eV per atom.

The structure belongs to space group P4/mmm (No. 123); the cell edges are 4.357, 4.357 and 6.320 Å and the angles 90.00°, 90.00° and 90.00°. The inequivalent atoms are K at (0.000, 0.000, 0.000), Ni at (0.500, 0.500, 0.500), S at (0.000, 0.500, 0.500) and Cl at (0.500, 0.500, 0.000).

***

Entry 2:
## KNiS2Cl (PBE)

Data for a relaxed KNiS2Cl crystal.

The value obtained for the energy above the lowest structure with this stoichiometry is 1.6226 eV per atom. Its magnetic moment is 4.00 Bohr magnetons per cell. The density comes out at 1.84 g cm⁻³. The formation energy from raw total energies comes out at 1.173 eV per atom.

The structure belongs to space group P4/mmm (No. 123); the cell edges are 5.671, 5.671 and 5.526 Å and the angles 90.00°, 90.00° and 90.00°. The inequivalent atoms are K at (0.000, 0.000, 0.000), Ni at (0.500, 0.500, 0.500), S at (0.000, 0.500, 0.000) and Cl at (0.000, 0.000, 0.500).

***

Entry 3:
## KNiSCl2 (PBE)

Data for a relaxed KNiSCl2 crystal.

The value obtained for the energy above the lowest structure with this stoichiometry is 0.0000 eV per atom. Its magnetic moment is 1.82 Bohr magnetons per cell. The density comes out at 3.00 g cm⁻³. The formation energy from raw total energies comes out at -0.737 eV per atom.

The structure belongs to space group P4/mmm (No. 123); the cell edges are 5.062, 5.062 and 4.340 Å and the angles 90.00°, 90.00° and 90.00°. The inequivalent atoms are K at (0.000, 0.000, 0.000), Ni at (0.500, 0.500, 0.500), S at (0.500, 0.500, 0.000) and Cl at (0.000, 0.500, 0.500).

***

Entry 4:
## KNiSCl2 (PBE)

Data for a relaxed KNiSCl2 crystal.

The value obtained for the energy above the lowest structure with this stoichiometry is 1.4450 eV per atom. Its magnetic moment is 0.73 Bohr magnetons per cell. The density comes out at 1.82 g cm⁻³. The formation energy from raw total energies comes out at 0.708 eV per atom.

The structure belongs to space group P4/mmm (No. 123); the cell edges are 5.685, 5.685 and 5.667 Å and the angles 90.00°, 90.00° and 90.00°. The inequivalent atoms are K at (0.000, 0.000, 0.000), Ni at (0.500, 0.500, 0.500), S at (0.000, 0.000, 0.500) and Cl at (0.000, 0.500, 0.000).

***

Entry 5:
## KSmNiCl6 (PBE)

Data for a relaxed KSmNiCl6 crystal.

Its magnetic moment is 2.07 Bohr magnetons per cell. The density comes out at 2.83 g cm⁻³. The formation energy from raw total energies comes out at -1.632 eV per atom.

The structure belongs to space group P312 (No. 149); the cell edges are 6.7015, 6.7015 and 6.9619 Å and the angles 90.00°, 90.00° and 120.00°. The inequivalent atoms are K at (0.0000, 0.0000, 0.0000), Sm at (0.3333, 0.6667, 0.5000), Ni at (0.6667, 0.3333, 0.5000) and Cl at (0.3834, 0.0314, 0.7080).

***

Entry 6:
## KTaNi2Cl (PBE)

Data for a relaxed KTaNi2Cl crystal.

Its magnetic moment is 0.00 Bohr magnetons per cell. The density comes out at 3.23 g cm⁻³. The formation energy from raw total energies comes out at 0.820 eV per atom.

The structure belongs to space group P4/mmm (No. 123); the cell edges are 4.531, 4.531 and 9.329 Å and the angles 90.00°, 90.00° and 90.00°. The inequivalent atoms are K at (0.000, 0.000, 0.000), Ta at (0.000, 0.000, 0.500), Ni at (0.000, 0.500, 0.500) and Cl at (0.500, 0.500, 0.000).

***

Entry 7:
## K2TaNiCl (PBE)

Data for a relaxed K2TaNiCl crystal.

Its magnetic moment is 2.38 Bohr magnetons per cell. The density comes out at 3.33 g cm⁻³. The formation energy from raw total energies comes out at 0.556 eV per atom.

The structure belongs to space group P4/mmm (No. 123); the cell edges are 6.206, 6.206 and 4.578 Å and the angles 90.00°, 90.00° and 90.00°. The inequivalent atoms are K at (0.000, 0.500, 0.000), Ta at (0.000, 0.000, 0.500), Ni at (0.000, 0.000, 0.000) and Cl at (0.500, 0.500, 0.500).

***

Entry 8:
## KTiNiCl6 (PBE)

Data for a relaxed KTiNiCl6 crystal.

Its magnetic moment is 2.32 Bohr magnetons per cell. The density comes out at 2.44 g cm⁻³. The formation energy from raw total energies comes out at -1.337 eV per atom.

The structure belongs to space group P312 (No. 149); the cell edges are 6.3600, 6.3600 and 6.9705 Å and the angles 90.00°, 90.00° and 120.00°. The inequivalent atoms are K at (0.0000, 0.0000, 0.0000), Ti at (0.3333, 0.6667, 0.5000), Ni at (0.6667, 0.3333, 0.5000) and Cl at (0.0035, 0.3765, 0.3031).

***

Entry 9:
## KTl2NiCl6 (PBE)

Data for a relaxed KTl2NiCl6 crystal.

Its magnetic moment is 1.89 Bohr magnetons per cell. The density comes out at 4.10 g cm⁻³. The formation energy from raw total energies comes out at -0.967 eV per atom.

The structure belongs to space group P2_1/c (No. 14); the cell edges are 6.922, 7.738 and 12.880 Å and the angles 90.00°, 122.37° and 90.00°. The inequivalent atoms are K at (0.000, 0.000, 0.000), Tl at (0.233, 0.062, 0.746), Ni at (0.500, 0.000, 0.500), Cl at (0.197, 0.144, 0.476), Cl at (0.304, 0.749, 0.449) and Cl at (0.357, 0.047, 0.276).

***

Entry 10:
## KTlNiCl4 (PBE)

Data for a relaxed KTlNiCl4 crystal.

Its magnetic moment is 4.00 Bohr magnetons per cell. The density comes out at 3.52 g cm⁻³. The formation energy from raw total energies comes out at -1.065 eV per atom.

The structure belongs to space group P2_1/m (No. 11); the cell edges are 6.868, 7.069 and 9.194 Å and the angles 90.00°, 110.32° and 90.00°. The inequivalent atoms are K at (0.196, 0.250, 0.047), Tl at (0.275, 0.250, 0.570), Ni at (0.242, 0.750, 0.803), Cl at (0.018, 0.506, 0.740), Cl at (0.361, 0.750, 0.063) and Cl at (0.410, 0.750, 0.633).

***

Entry 11:
## K3TlNi2Cl9 (PBE)

Data for a relaxed K3TlNi2Cl9 crystal.

Its magnetic moment is 1.09 Bohr magnetons per cell. The density comes out at 3.26 g cm⁻³. The formation energy from raw total energies comes out at -1.124 eV per atom.

The structure belongs to space group P-3m1 (No. 164); the cell edges are 6.9941, 6.9941 and 9.1250 Å and the angles 90.00°, 90.00° and 120.00°. The inequivalent atoms are K at (0.0000, 0.0000, 0.0000), K at (0.3333, 0.6667, 0.7113), Tl at (0.0000, 0.0000, 0.5000), Ni at (0.3333, 0.6667, 0.1504), Cl at (0.0000, 0.5000, 0.0000) and Cl at (0.1772, 0.3543, 0.2964).

***

Entry 12:
## KTmNiCl6 (PBE)

Data for a relaxed KTmNiCl6 crystal.

Its magnetic moment is 2.09 Bohr magnetons per cell. The density comes out at 3.05 g cm⁻³. The formation energy from raw total energies comes out at -1.650 eV per atom.

The structure belongs to space group P312 (No. 149); the cell edges are 6.5477, 6.5477 and 7.0367 Å and the angles 90.00°, 90.00° and 120.00°. The inequivalent atoms are K at (0.0000, 0.0000, 0.0000), Tm at (0.3333, 0.6667, 0.5000), Ni at (0.6667, 0.3333, 0.5000) and Cl at (0.3794, 0.0208, 0.7036).

***

Entry 13:
## KYNiCl6 (PBE)

Data for a relaxed KYNiCl6 crystal.

Its magnetic moment is 2.08 Bohr magnetons per cell. The density comes out at 2.50 g cm⁻³. The formation energy from raw total energies comes out at -1.645 eV per atom.

The structure belongs to space group P312 (No. 149); the cell edges are 6.6162, 6.6162 and 6.9944 Å and the angles 90.00°, 90.00° and 120.00°. The inequivalent atoms are K at (0.0000, 0.0000, 0.0000), Y at (0.6667, 0.3333, 0.5000), Ni at (0.3333, 0.6667, 0.5000) and Cl at (0.0252, 0.3816, 0.2941).

***

Entry 14:
## K2NpCl5 (PBE)

Data for a relaxed K2NpCl5 crystal.

The value obtained for the energy above the lowest structure with this stoichiometry is 0.1264 eV per atom. Its magnetic moment is 8.00 Bohr magnetons per cell. The density comes out at 2.09 g cm⁻³. The formation energy from raw total energies comes out at -1.756 eV per atom.

The structure belongs to space group Cm (No. 8); the cell edges are 14.268, 8.158 and 8.071 Å and the angles 90.00°, 123.78° and 90.00°. The inequivalent atoms are K at (0.000, 0.000, 0.000), K at (0.000, 0.500, 0.497), Np at (0.338, 0.000, 0.835), Cl at (0.120, 0.000, 0.617), Cl at (0.399, 0.229, 0.671) and Cl at (0.400, 0.226, 0.124).

***

Entry 15:
## KNpCl4 (PBE)

Data for a relaxed KNpCl4 crystal.

The value obtained for the energy above the lowest structure with this stoichiometry is 0.0000 eV per atom. Its magnetic moment is 16.00 Bohr magnetons per cell. The density comes out at 3.24 g cm⁻³. The formation energy from raw total energies comes out at -1.801 eV per atom.

The structure belongs to space group Imma (No. 74); the cell edges are 8.659, 10.143 and 9.753 Å and the angles 90.00°, 90.00° and 90.00°. The inequivalent atoms are K at (0.000, 0.250, 0.246), Np at (0.250, 0.250, 0.750), Cl at (0.000, 0.076, 0.750) and Cl at (0.246, 0.250, 0.475).

***

Entry 16:
## KNpCl3 (PBE)

Data for a relaxed KNpCl3 crystal.

Its magnetic moment is 4.95 Bohr magnetons per cell. The density comes out at 3.80 g cm⁻³. The formation energy from raw total energies comes out at -1.473 eV per atom.

The structure belongs to space group Pm-3m (No. 221); the cell edges are 5.510, 5.510 and 5.510 Å and the angles 90.00°, 90.00° and 90.00°. The inequivalent atoms are K at (0.000, 0.000, 0.000), Np at (0.500, 0.500, 0.500) and Cl at (0.000, 0.500, 0.500).

***

Entry 17:
## K2Np2Cl7 (PBE)

Data for a relaxed K2Np2Cl7 crystal.

Its magnetic moment is 18.00 Bohr magnetons per cell. The density comes out at 3.80 g cm⁻³. The formation energy from raw total energies comes out at -1.719 eV per atom.

The structure belongs to space group C2/m (No. 12); the cell edges are 10.395, 9.106 and 7.382 Å and the angles 90.00°, 90.45° and 90.00°. The inequivalent atoms are K at (0.000, 0.245, 0.000), Np at (0.221, 0.500, 0.500), Cl at (0.000, 0.000, 0.500), Cl at (0.000, 0.500, 0.272) and Cl at (0.249, 0.250, 0.738).

***

Entry 18:
## KNpCl4 (PBE)

Data for a relaxed KNpCl4 crystal.

The value obtained for the energy above the lowest structure with this stoichiometry is 0.0196 eV per atom. Its magnetic moment is 16.00 Bohr magnetons per cell. The density comes out at 3.82 g cm⁻³. The formation energy from raw total energies comes out at -1.781 eV per atom.

The structure belongs to space group C2/c (No. 15); the cell edges are 9.374, 13.608 and 6.702 Å and the angles 90.00°, 121.70° and 90.00°. The inequivalent atoms are K at (0.000, 0.138, 0.250), Np at (0.000, 0.483, 0.750), Cl at (0.103, 0.341, 0.560) and Cl at (0.228, 0.058, 0.794).

***

Entry 19:
## KNp2Cl11 (PBE)

Data for a relaxed KNp2Cl11 crystal.

Its magnetic moment is 16.00 Bohr magnetons per cell. The density comes out at 2.83 g cm⁻³. The formation energy from raw total energies comes out at -1.516 eV per atom.

The structure belongs to space group Ibam (No. 72); the cell edges are 12.326, 12.383 and 13.888 Å and the angles 90.00°, 90.00° and 90.00°. The inequivalent atoms are K at (0.000, 0.000, 0.250), Np at (0.155, 0.346, 0.000), Cl at (0.000, 0.500, 0.000), Cl at (0.054, 0.244, 0.128), Cl at (0.204, 0.295, 0.500) and Cl at (0.242, 0.054, 0.372).

***

Entry 20:
## K2NpCl8 (PBE)

Data for a relaxed K2NpCl8 crystal.

The value obtained for the energy above the lowest structure with this stoichiometry is 0.0655 eV per atom. Its magnetic moment is 3.80 Bohr magnetons per cell. The density comes out at 3.04 g cm⁻³. The formation energy from raw total energies comes out at -1.352 eV per atom.

The structure belongs to space group C2/m (No. 12); the cell edges are 21.060, 4.936 and 6.519 Å and the angles 90.00°, 104.98° and 90.00°. The inequivalent atoms are K at (0.185, 0.000, 0.195), Np at (0.000, 0.500, 0.500), Cl at (0.021, 0.000, 0.303), Cl at (0.070, 0.500, 0.876), Cl at (0.114, 0.500, 0.440) and Cl at (0.225, 0.000, 0.750).

***

Entry 21:
## KNpCl14 (PBE)

Data for a relaxed KNpCl14 crystal.

Its magnetic moment is 2.26 Bohr magnetons per cell. The density comes out at 2.03 g cm⁻³. The formation energy from raw total energies comes out at -0.616 eV per atom.

The structure belongs to space group Amm2 (No. 38); the cell edges are 8.578, 10.149 and 14.537 Å and the angles 90.00°, 90.00° and 90.00°. The inequivalent atoms are K at (0.000, 0.000, 0.000), Np at (0.000, 0.000, 0.606), Cl at (0.000, 0.158, 0.738), Cl at (0.193, 0.157, 0.539), Cl at (0.312, 0.000, 0.116), Cl at (0.313, 0.000, 0.888), Cl at (0.500, 0.000, 0.004), Cl at (0.500, 0.000, 0.368) and Cl at (0.500, 0.207, 0.328).

***

Entry 22:
## K2NpCl8 (PBE)

Data for a relaxed K2NpCl8 crystal.

The value obtained for the energy above the lowest structure with this stoichiometry is 0.0000 eV per atom. Its magnetic moment is 1.78 Bohr magnetons per cell. The density comes out at 3.15 g cm⁻³. The formation energy from raw total energies comes out at -1.418 eV per atom.

The structure belongs to space group Cm (No. 8); the cell edges are 8.665, 14.728 and 6.399 Å and the angles 90.00°, 129.37° and 90.00°. The inequivalent atoms are K at (0.000, 0.201, 0.000), Np at (0.002, 0.500, 0.213), Cl at (0.020, 0.319, 0.439), Cl at (0.223, 0.395, 0.175), Cl at (0.243, 0.106, 0.813), Cl at (0.265, 0.000, 0.312) and Cl at (0.295, 0.500, 0.710).